# 1
# PmAsP2Rh5

An optimized crystal structure of PmAsP2Rh5 (PBE, Alexandria via LeMat-Bulk).

V, Å³ per cell: 159.38
Energy of formation from the pure elements, eV/atom: -0.73
Calculated total energy, eV per atom: -7.06

The structure in CIF format:
```
data_PmAsP2Rh5
_chemical_formula_sum 'Pm1 As1 P2 Rh5'
_space_group_name_H-M_alt 'P 4/m m m'
_space_group_IT_number 123
_space_group_name_Hall '-P 4 2'
_cell_length_a 4.007
_cell_length_b 4.007
_cell_length_c 9.924
_cell_angle_alpha 90.00
_cell_angle_beta 90.00
_cell_angle_gamma 90.00
loop_
_atom_site_label
_atom_site_fract_x
_atom_site_fract_y
_atom_site_fract_z
Pm1 0.000 0.000 0.000
As1 0.000 0.000 0.500
P1 0.500 0.500 0.229
Rh1 0.000 0.500 0.344
Rh2 0.500 0.500 0.000
```

# 2
# Pm6AsP3S2

An optimized crystal structure of Pm6AsP3S2 (PBE, Alexandria via LeMat-Bulk).

Energy relative to the elements, uncorrected, eV/atom: -1.766
V, Å³ per cell: 594.94
Calculated total energy, eV per atom: -6.57

The structure in CIF format:
```
data_Pm6AsP3S2
_chemical_formula_sum 'Pm12 As2 P6 S4'
_space_group_name_H-M_alt 'C 1 2/m 1'
_space_group_IT_number 12
_space_group_name_Hall '-C 2y'
_cell_length_a 17.987
_cell_length_b 4.124
_cell_length_c 8.246
_cell_angle_alpha 90.00
_cell_angle_beta 103.45
_cell_angle_gamma 90.00
loop_
_atom_site_label
_atom_site_fract_x
_atom_site_fract_y
_atom_site_fract_z
Pm1 0.001 0.000 0.246
Pm2 0.165 0.500 0.087
Pm3 0.168 0.500 0.579
As1 0.000 0.500 0.500
P1 0.000 0.500 0.000
P2 0.167 0.000 0.332
S1 0.168 0.000 0.836
```